Record 1
# Zr3Sc2

Crystalline Zr3Sc2 at its relaxed geometry (PBE, the Alexandria database).

Output
The calculated formation energy is 0.064 eV per atom.

Cell lengths 10.5257, 15.0739, 5.9268 Å; angles 90.00, 90.00, 90.00 degrees
Space group Fdd2 (No. 43)
Symmetry-distinct sites (fractional):
Zr 0.0000 0.0000 0.0000
Zr 0.0552 0.3963 0.0614
Sc 0.0415 0.3029 0.5807

***

Record 2
# Sm3ErCd4

Crystalline Sm3ErCd4 at its relaxed geometry (PBE, the Alexandria database).

Output
The calculated formation energy is -0.314 eV per atom.

Cell lengths 3.7725, 3.7725, 15.3048 Å; angles 90.00, 90.00, 90.00 degrees
Space group P4/mmm (No. 123)
Symmetry-distinct sites (fractional):
Sm 0.0000 0.0000 0.0000
Sm 0.0000 0.0000 0.2535
Er 0.0000 0.0000 0.5000
Cd 0.5000 0.5000 0.1261
Cd 0.5000 0.5000 0.3830

***

Record 3
# Li2HoMgAu2

Crystalline Li2HoMgAu2 at its relaxed geometry (PBE, the Alexandria database).

Output
The calculated formation energy is -0.549 eV per atom.

Cell lengths 4.5064, 4.5064, 6.5187 Å; angles 90.00, 90.00, 120.00 degrees
Space group P-3m1 (No. 164)
Symmetry-distinct sites (fractional):
Li 0.3333 0.6667 0.1832
Ho 0.0000 0.0000 0.5000
Mg 0.0000 0.0000 0.0000
Au 0.3333 0.6667 0.7603

***

Record 4
# TaMnRe2

Crystalline TaMnRe2 at its relaxed geometry (PBE, the Alexandria database).

Output
The calculated formation energy is -0.034 eV per atom.

Cell lengths 6.2301, 6.2301, 6.2301 Å; angles 90.00, 90.00, 90.00 degrees
Space group F-43m (No. 216)
Symmetry-distinct sites (fractional):
Ta 0.0000 0.0000 0.0000
Mn 0.2500 0.2500 0.2500
Re 0.0000 0.0000 0.5000
Re 0.2500 0.2500 0.7500

***

Record 5
# LaDy2Y2Tm

Crystalline LaDy2Y2Tm at its relaxed geometry (PBE, the Alexandria database).

Output
The calculated formation energy is 0.288 eV per atom.

Cell lengths 6.5497, 17.9157, 3.4024 Å; angles 90.00, 90.00, 90.00 degrees
Space group Pnnm (No. 58)
Symmetry-distinct sites (fractional):
La 0.0000 0.0000 0.0000
Dy 0.2188 0.1859 0.0000
Y 0.2147 0.3517 0.5000
Tm 0.0000 0.5000 0.0000

***

Record 6
# Pm2SmZnN

Crystalline Pm2SmZnN at its relaxed geometry (PBE, the Alexandria database).

Output
The calculation puts the formation energy without anion corrections at -0.669 eV per atom.

Cell lengths 4.9474, 4.9474, 4.9070 Å; angles 90.00, 90.00, 90.00 degrees
Space group P4/mmm (No. 123)
Symmetry-distinct sites (fractional):
Pm 0.0000 0.5000 0.0000
Sm 0.0000 0.0000 0.5000
Zn 0.5000 0.5000 0.5000
N 0.0000 0.0000 0.0000

***

Record 7
# HfTcHPt2

Crystalline HfTcHPt2 at its relaxed geometry (PBE, the Alexandria database).

Cell lengths 4.0063, 4.0063, 4.1732 Å; angles 90.00, 90.00, 90.00 degrees
Space group P4/mmm (No. 123)
Symmetry-distinct sites (fractional):
Hf 0.0000 0.0000 0.0000
Tc 0.5000 0.5000 0.0000
H 0.5000 0.5000 0.5000
Pt 0.0000 0.5000 0.5000

***

Record 8
# AlNi

Crystalline AlNi at its relaxed geometry (PBE, the Alexandria database).

Output
The calculated formation energy is -0.346 eV per atom.

Cell lengths 3.9461, 3.9461, 12.3563 Å; angles 90.00, 90.00, 120.00 degrees
Space group R-3m (No. 166, hexagonal axes)
Symmetry-distinct sites (fractional):
Al 0.0000 0.0000 0.1064
Ni 0.0000 0.0000 0.3044

***

Record 9
# Hf4TlMo

Crystalline Hf4TlMo at its relaxed geometry (PBE, the Alexandria database).

Output
The calculated formation energy is 0.191 eV per atom.

Cell lengths 5.5483, 3.1286, 7.3598 Å; angles 90.00, 91.67, 90.00 degrees
Space group P2/m (No. 10)
Symmetry-distinct sites (fractional):
Hf 0.1589 0.0000 0.1733
Hf 0.3252 0.5000 0.8360
Tl 0.5000 0.0000 0.5000
Mo 0.0000 0.5000 0.5000

***

Record 10
# RbZr6S12

Crystalline RbZr6S12 at its relaxed geometry (PBE, the Alexandria database).

Output
The calculation puts the formation energy without anion corrections at -1.280 eV per atom.

Cell lengths 12.5848, 12.5848, 9.1314 Å; angles 90.00, 90.00, 120.00 degrees
Space group R-3m (No. 166, hexagonal axes)
Symmetry-distinct sites (fractional):
Rb 0.0000 0.0000 0.0000
Zr 0.0730 0.5365 0.2794
S 0.0000 0.3754 0.5000
S 0.0898 0.1797 0.3478

***

Record 11
# PrZnGa4

Crystalline PrZnGa4 at its relaxed geometry (PBE, the Alexandria database).

Output
The calculated formation energy is -0.195 eV per atom.

Cell lengths 7.8935, 7.8935, 7.8935 Å; angles 90.00, 90.00, 90.00 degrees
Space group F-43m (No. 216)
Symmetry-distinct sites (fractional):
Pr 0.0000 0.0000 0.0000
Zn 0.2500 0.2500 0.2500
Ga 0.1249 0.1249 0.6249

***

Record 12
# SrZn2SnAu

Crystalline SrZn2SnAu at its relaxed geometry (PBE, the Alexandria database).

Output
The calculated formation energy is -0.430 eV per atom.

Cell lengths 4.3956, 4.4420, 11.8245 Å; angles 90.00, 90.00, 90.00 degrees
Space group Imm2 (No. 44)
Symmetry-distinct sites (fractional):
Sr 0.0000 0.0000 0.0000
Zn 0.0000 0.0000 0.3881
Zn 0.0000 0.5000 0.2506
Sn 0.0000 0.5000 0.7510
Au 0.0000 0.0000 0.6059

***

The magnetic moment results, record by record, are as follows: 0.000, 0.178, 0.000, 0.554, 0.000, 0.000, 0.000, 0.000, 0.000, 0.001, 0.000, 0.000 μB per atom.
The E results, record by record, are as follows: -303.90, -24.89, -19.85, -184.22, -59.60, -27.17, -38.26, -61.30, -51.87, -378.33, -77.33, -27.32 eV for the cell shown.
The DOS at the Fermi energy results, record by record, are as follows: 57.26, 9.19, 2.57, 13.70, 21.36, 5.13, 3.60, 7.86, 5.92, 22.42, 15.96, 5.13 states/eV per cell.